Entry 1:
# Y4GaS2, relaxed, DFT PBE
# DOS at the Fermi energy: 0.659 states/eV/atom
# Electronic total energy: -6.677 eV/atom
data_Y4GaS2
_chemical_formula_sum 'Y8 Ga2 S4'
_space_group_name_H-M_alt 'P 1'
_space_group_IT_number 1
_space_group_name_Hall 'P 1'
_cell_length_a 3.9060
_cell_length_b 6.7674
_cell_length_c 13.3945
_cell_angle_alpha 90.00
_cell_angle_beta 90.00
_cell_angle_gamma 106.77
loop_
_atom_site_label
_atom_site_fract_x
_atom_site_fract_y
_atom_site_fract_z
Y1 0.0615 0.1230 0.2500
S1 0.1358 0.2716 0.4398
S2 0.8642 0.7284 0.5602
S3 0.1358 0.2716 0.0602
Ga1 0.6089 0.2178 0.7500
Y2 0.7717 0.5433 0.3797
Y3 0.5000 0.0000 0.0000
Y4 0.9385 0.8770 0.7500
Y5 0.2283 0.4567 0.8797
Y6 0.7717 0.5433 0.1203
Ga2 0.3911 0.7822 0.2500
Y7 0.5000 0.0000 0.5000
Y8 0.2283 0.4567 0.6203
S4 0.8642 0.7284 0.9398

=====

Entry 2:
# Y2GaS, relaxed, DFT PBE
# DOS at the Fermi energy: 0.833 states/eV/atom
# Offset from the most stable computed form: 160 meV/atom
# Electronic total energy: -6.218 eV/atom
data_Y2GaS
_chemical_formula_sum 'Y2 Ga1 S1'
_space_group_name_H-M_alt 'P 1'
_space_group_IT_number 1
_space_group_name_Hall 'P 1'
_cell_length_a 3.7867
_cell_length_b 3.7867
_cell_length_c 7.9685
_cell_angle_alpha 76.25
_cell_angle_beta 76.25
_cell_angle_gamma 60.00
loop_
_atom_site_label
_atom_site_fract_x
_atom_site_fract_y
_atom_site_fract_z
Y1 0.2604 0.2604 0.2188
Ga1 0.4994 0.4994 0.5017
S1 0.6679 0.6679 0.9962
Y2 0.0722 0.0722 0.7833

=====

Looking at energy relative to the elements, uncorrected for the records above, in order, we have -1.372 -1.197 eV per atom.